Record 1
# Sm2Ga4SnIr3 | Alexandria via LeMat-Bulk | PBE | relaxed
# - ΔE_f (eV/atom) = -0.600
# - density of states at the Fermi level (states/eV/atom) = 0.615
# - electronic total energy (eV/cell) = -58.13
data_Sm2Ga4SnIr3
_space_group_name_H-M_alt 'P -4 m 2'
_space_group_IT_number 115
_cell_length_a 4.155
_cell_length_b 4.155
_cell_length_c 11.288
_cell_angle_alpha 90.00
_cell_angle_beta 90.00
_cell_angle_gamma 90.00
loop_
_space_group_symop_operation_xyz
'x,y,z'
'y,-x,-z'
'-x,-y,z'
'-y,x,-z'
'-x,y,z'
'-y,-x,-z'
'x,-y,z'
'y,x,-z'
loop_
_atom_site_label
_atom_site_type_symbol
_atom_site_fract_x
_atom_site_fract_y
_atom_site_fract_z
Sm1 Sm 0.000 0.500 0.237
Ga1 Ga 0.000 0.000 0.000
Ga2 Ga 0.000 0.500 0.651
Ga3 Ga 0.500 0.500 0.000
Sn1 Sn 0.000 0.000 0.500
Ir1 Ir 0.000 0.500 0.869
Ir2 Ir 0.500 0.500 0.500

---

Record 2
# SrSmGa2Ir2 | Alexandria via LeMat-Bulk | PBE | relaxed
# - ΔE_f (eV/atom) = -0.636
# - density of states at the Fermi level (states/eV/atom) = 0.539
# - electronic total energy (eV/cell) = -33.99
data_SrSmGa2Ir2
_space_group_name_H-M_alt 'P -3 m 1'
_space_group_IT_number 164
_space_group_name_Hall '-P 3 2"'
_cell_length_a 4.3248
_cell_length_b 4.3248
_cell_length_c 8.3556
_cell_angle_alpha 90.00
_cell_angle_beta 90.00
_cell_angle_gamma 120.00
loop_
_atom_site_label
_atom_site_type_symbol
_atom_site_fract_x
_atom_site_fract_y
_atom_site_fract_z
Sr1 Sr 0.0000 0.0000 0.0000
Sm1 Sm 0.0000 0.0000 0.5000
Ga1 Ga 0.3333 0.6667 0.7311
Ir1 Ir 0.3333 0.6667 0.2832

---

Record 3
# TbSmGa2Ir2 | Alexandria via LeMat-Bulk | PBE | relaxed
# - ΔE_f (eV/atom) = -0.772
# - density of states at the Fermi level (states/eV/atom) = 0.620
# - electronic total energy (eV/cell) = -37.76
data_TbSmGa2Ir2
_space_group_name_H-M_alt 'P -3 m 1'
_space_group_IT_number 164
_space_group_name_Hall '-P 3 2"'
_cell_length_a 4.4080
_cell_length_b 4.4080
_cell_length_c 7.2331
_cell_angle_alpha 90.00
_cell_angle_beta 90.00
_cell_angle_gamma 120.00
loop_
_atom_site_label
_atom_site_type_symbol
_atom_site_fract_x
_atom_site_fract_y
_atom_site_fract_z
Tb1 Tb 0.0000 0.0000 0.0000
Sm1 Sm 0.0000 0.0000 0.5000
Ga1 Ga 0.3333 0.6667 0.7601
Ir1 Ir 0.3333 0.6667 0.2406

---

Record 4
# Tb2Sm2GaIr4 | Alexandria via LeMat-Bulk | PBE | relaxed
# - ΔE_f (eV/atom) = -0.343
# - density of states at the Fermi level (states/eV/atom) = 0.552
# - electronic total energy (eV/cell) = -120.52
data_Tb2Sm2GaIr4
_space_group_name_H-M_alt 'I 4/m m m'
_space_group_IT_number 139
_space_group_name_Hall '-I 4 2'
_cell_length_a 6.588
_cell_length_b 6.588
_cell_length_c 8.952
_cell_angle_alpha 90.00
_cell_angle_beta 90.00
_cell_angle_gamma 90.00
loop_
_atom_site_label
_atom_site_type_symbol
_atom_site_fract_x
_atom_site_fract_y
_atom_site_fract_z
Tb1 Tb 0.000 0.500 0.250
Sm1 Sm 0.000 0.000 0.190
Ga1 Ga 0.000 0.000 0.500
Ir1 Ir 0.240 0.240 0.000

---

Record 5
# Sm2TmGa3Ir4 | Alexandria via LeMat-Bulk | PBE | relaxed
# - ΔE_f (eV/atom) = -0.727
# - density of states at the Fermi level (states/eV/atom) = 0.534
# - electronic total energy (eV/cell) = -65.71
data_Sm2TmGa3Ir4
_space_group_name_H-M_alt 'P -4 m 2'
_space_group_IT_number 115
_cell_length_a 4.238
_cell_length_b 4.238
_cell_length_c 11.049
_cell_angle_alpha 90.00
_cell_angle_beta 90.00
_cell_angle_gamma 90.00
loop_
_space_group_symop_operation_xyz
'x,y,z'
'y,-x,-z'
'-x,-y,z'
'-y,x,-z'
'-x,y,z'
'-y,-x,-z'
'x,-y,z'
'y,x,-z'
loop_
_atom_site_label
_atom_site_type_symbol
_atom_site_fract_x
_atom_site_fract_y
_atom_site_fract_z
Sm1 Sm 0.000 0.500 0.222
Tm1 Tm 0.000 0.000 0.500
Ga1 Ga 0.000 0.500 0.881
Ga2 Ga 0.500 0.500 0.500
Ir1 Ir 0.000 0.000 0.000
Ir2 Ir 0.000 0.500 0.654
Ir3 Ir 0.500 0.500 0.000

---

Record 6
# SmTmGaIr | Alexandria via LeMat-Bulk | PBE | relaxed
# - ΔE_f (eV/atom) = -0.642
# - ΔE to the lowest computed polymorph (eV/atom) = 0.078
# - density of states at the Fermi level (states/eV/atom) = 0.717
# - electronic total energy (eV/cell) = -94.58
data_SmTmGaIr
_space_group_name_H-M_alt 'F -4 3 m'
_space_group_IT_number 216
_space_group_name_Hall 'F -4 2 3'
_cell_length_a 7.040
_cell_length_b 7.040
_cell_length_c 7.040
_cell_angle_alpha 90.00
_cell_angle_beta 90.00
_cell_angle_gamma 90.00
loop_
_atom_site_label
_atom_site_type_symbol
_atom_site_fract_x
_atom_site_fract_y
_atom_site_fract_z
Sm1 Sm 0.000 0.000 0.000
Tm1 Tm 0.000 0.000 0.500
Ga1 Ga 0.250 0.250 0.750
Ir1 Ir 0.250 0.250 0.250

---

Record 7
# SmTmGaIr | Alexandria via LeMat-Bulk | PBE | relaxed
# - ΔE_f (eV/atom) = -0.719
# - ΔE to the lowest computed polymorph (eV/atom) = 0.000
# - density of states at the Fermi level (states/eV/atom) = 0.786
# - electronic total energy (eV/cell) = -47.91
data_SmTmGaIr
_space_group_name_H-M_alt 'A m m 2'
_space_group_IT_number 38
_cell_length_a 4.239
_cell_length_b 4.024
_cell_length_c 10.748
_cell_angle_alpha 90.00
_cell_angle_beta 90.00
_cell_angle_gamma 90.00
loop_
_space_group_symop_operation_xyz
'x,y,z'
'-x,-y,z'
'-x,y,z'
'x,-y,z'
'x,y+1/2,z+1/2'
'-x,-y+1/2,z+1/2'
'-x,y+1/2,z+1/2'
'x,-y+1/2,z+1/2'
loop_
_atom_site_label
_atom_site_type_symbol
_atom_site_fract_x
_atom_site_fract_y
_atom_site_fract_z
Sm1 Sm 0.000 0.000 0.000
Tm1 Tm 0.500 0.000 0.717
Ga1 Ga 0.500 0.000 0.422
Ir1 Ir 0.000 0.000 0.279

---

Record 8
# SmYGa2Ir2 | Alexandria via LeMat-Bulk | PBE | relaxed
# - ΔE_f (eV/atom) = -0.772
# - density of states at the Fermi level (states/eV/atom) = 0.651
# - electronic total energy (eV/cell) = -39.59
data_SmYGa2Ir2
_space_group_name_H-M_alt 'P -3 m 1'
_space_group_IT_number 164
_space_group_name_Hall '-P 3 2"'
_cell_length_a 4.4063
_cell_length_b 4.4063
_cell_length_c 7.2296
_cell_angle_alpha 90.00
_cell_angle_beta 90.00
_cell_angle_gamma 120.00
loop_
_atom_site_label
_atom_site_type_symbol
_atom_site_fract_x
_atom_site_fract_y
_atom_site_fract_z
Sm1 Sm 0.0000 0.0000 0.0000
Y1 Y 0.0000 0.0000 0.5000
Ga1 Ga 0.3333 0.6667 0.2613
Ir1 Ir 0.3333 0.6667 0.7408